{"formula": "CaPBr2", "functional": "PBE", "state": "relaxed", "formation_energy_uncorrected_ev_per_atom": -0.624, "cell": [[3.7730, 0.0000, 0.0000], [0.0000, 4.3639, 0.0000], [0.0000, 0.0000, 5.9988]], "species": ["Ca", "P", "Br", "Br"], "frac_coords": [[0.0000, 0.0000, 0.0000], [0.5000, 0.0000, 0.5000], [0.0000, 0.5000, 0.5000], [0.5000, 0.5000, 0.0000]]}



{"formula": "Si2AgCl", "functional": "PBE", "state": "relaxed", "formation_energy_uncorrected_ev_per_atom": 0.024, "cell": [[3.2659, 0.0000, 0.0000], [0.0000, 3.5404, 0.0000], [-0.0429, 0.0000, 7.0850]], "species": ["Si", "Si", "Ag", "Cl"], "frac_coords": [[0.0000, 0.0000, 0.0000], [0.4988, 0.5000, 0.8974], [0.5058, 0.0000, 0.2841], [0.4911, 0.5000, 0.5849]]}



{"formula": "K2BaHgF", "functional": "PBE", "state": "relaxed", "formation_energy_uncorrected_ev_per_atom": -1.158, "cell": [[5.3605, 0.0000, 0.0000], [0.0000, 5.3605, 0.0000], [0.0000, 0.0000, 5.9052]], "species": ["K", "K", "Ba", "Hg", "F"], "frac_coords": [[0.0000, 0.5000, 0.0000], [0.5000, 0.0000, 0.0000], [0.0000, 0.0000, 0.5000], [0.5000, 0.5000, 0.5000], [0.0000, 0.0000, 0.0000]]}



{"formula": "BaCr2Cu", "functional": "PBE", "state": "relaxed", "ef_ev_per_fu": 2.8, "cell": [[2.2653, 1.3079, 5.7785], [-2.2653, 1.3079, 5.7785], [0.0000, -2.6157, 5.7785]], "species": ["Ba", "Cr", "Cr", "Cu"], "frac_coords": [[0.0000, 0.0000, 0.0000], [0.5054, 0.5054, 0.5054], [0.8155, 0.8155, 0.8155], [0.1825, 0.1825, 0.1825]]}



{"formula": "YCoMo2", "functional": "PBE", "state": "relaxed", "ef_ev_per_fu": 1.6, "cell": [[-1.6560, 2.4415, 4.3221], [1.6560, -2.4415, 4.3221], [1.6560, 2.4415, -4.3221]], "species": ["Y", "Co", "Mo", "Mo"], "frac_coords": [[0.0000, 0.0000, 0.0000], [0.2657, 0.7657, 0.5000], [0.4964, 0.4964, 0.0000], [0.7191, 0.2191, 0.5000]]}



{"formula": "NiSe2Br", "functional": "PBE", "state": "relaxed", "formation_energy_uncorrected_ev_per_atom": 0.087, "cell": [[1.6740, -12.1394, 0.0000], [1.6740, 12.1394, 0.0000], [0.0000, 0.0000, 4.5919]], "species": ["Ni", "Ni", "Se", "Se", "Se", "Se", "Br", "Br"], "frac_coords": [[0.0579, 0.9421, 0.7500], [0.9421, 0.0579, 0.2500], [0.0378, 0.9622, 0.2500], [0.1525, 0.8475, 0.7500], [0.8475, 0.1525, 0.2500], [0.9622, 0.0378, 0.7500], [0.3316, 0.6684, 0.7500], [0.6684, 0.3316, 0.2500]]}



{"formula": "U2NiSeS4", "functional": "PBE", "state": "relaxed", "formation_energy_uncorrected_ev_per_atom": -1.010, "cell": [[5.4587, -1.8733, 0.0000], [5.4587, 1.8733, 0.0000], [-3.9162, 0.0000, 8.0659]], "species": ["U", "U", "Ni", "Se", "S", "S", "S", "S"], "frac_coords": [[0.1666, 0.1666, 0.2563], [0.8334, 0.8334, 0.7437], [0.0000, 0.0000, 0.5000], [0.5000, 0.5000, 0.0000], [0.1665, 0.1665, 0.7724], [0.3856, 0.3856, 0.5619], [0.6144, 0.6144, 0.4381], [0.8335, 0.8335, 0.2276]]}



{"formula": "ScCoPd", "functional": "PBE", "state": "relaxed", "ef_ev_per_fu": -1.4, "cell": [[4.2675, -2.0562, 0.0000], [4.2675, 2.0562, 0.0000], [-1.5075, 0.0000, 5.2414]], "species": ["Sc", "Sc", "Co", "Co", "Pd", "Pd"], "frac_coords": [[0.0000, 0.0000, 0.0000], [0.7179, 0.7179, 0.4064], [0.0426, 0.0426, 0.5469], [0.3437, 0.3437, 0.6929], [0.3662, 0.3662, 0.2110], [0.6731, 0.6731, 0.8707]]}



{"formula": "ZrSc4Au", "functional": "PBE", "state": "relaxed", "ef_ev_per_fu": 1.2, "cell": [[0.0000, 4.0687, 4.0687], [4.0687, 0.0000, 4.0687], [4.0687, 4.0687, 0.0000]], "species": ["Zr", "Sc", "Sc", "Sc", "Sc", "Au"], "frac_coords": [[0.0000, 0.0000, 0.0000], [0.3743, 0.3743, 0.3743], [0.3743, 0.3743, 0.8771], [0.3743, 0.8771, 0.3743], [0.8771, 0.3743, 0.3743], [0.7500, 0.7500, 0.7500]]}



{"formula": "Pm2ErH8", "functional": "PBE", "state": "relaxed", "total_energy_ev_per_atom": -4.317, "cell": [[-1.8741, 2.5994, 5.6096], [1.8741, -2.5994, 5.6096], [1.8741, 2.5994, -5.6096]], "species": ["Pm", "Pm", "Er", "H", "H", "H", "H", "H", "H", "H", "H"], "frac_coords": [[0.1681, 0.1681, 0.0000], [0.8319, 0.8319, 0.0000], [0.5000, 0.5000, 0.0000], [0.0912, 0.3452, 0.7460], [0.2479, 0.0000, 0.2479], [0.3352, 0.8352, 0.5000], [0.4007, 0.6548, 0.7460], [0.5993, 0.3452, 0.2540], [0.6648, 0.1648, 0.5000], [0.7521, 0.0000, 0.7521], [0.9088, 0.6548, 0.2540]]}



Question: What is the formula in the fifth record?
Answer: YCoMo2